Computed, not measured: Tc2Ni5Rh2 after structural relaxation at the PBE-GGA level of DFT.

Calculated values
Energy relative to the elements = 0.124 eV per atom
Space-group type = Ima2, No. 46
Uncorrected energy = -7.025 eV/atom
Magnetization = 1.0 μB/f.u.

a = 7.5074 Å, b = 7.5074 Å, c = 7.5074 Å
α = 89.08°, β = 101.33°, γ = 145.04°
Closest atoms and distances in Å follow each position.
Atoms (fractional coordinates):
Tc (0.0000, 0.0000, 0.0000)  4 Ni 2.40-2.49, 2 Rh 2.56
Tc (0.0000, 0.5000, 0.5000)  4 Ni 2.40-2.49, 2 Rh 2.56
Tc (0.0109, 0.2062, 0.3048)  5 Ni 2.47-2.67, 2 Rh 2.72, 2 Tc 2.73
Tc (0.9014, 0.7062, 0.6952)  5 Ni 2.47-2.67, 2 Rh 2.72, 2 Tc 2.73
Ni (0.1734, 0.6215, 0.8370)  5 Ni 2.30-2.52, 1 Tc 2.40, 1 Rh 2.48
Ni (0.1734, 0.8364, 0.0519)  5 Ni 2.30-2.52, 1 Tc 2.40, 1 Rh 2.48
Ni (0.2463, 0.1822, 0.5641)  6 Ni 2.41-2.56, 3 Tc 2.47-2.67, 2 Rh 2.60
Ni (0.4903, 0.2570, 0.3461)  6 Ni 2.38-2.52, 1 Tc 2.49
Ni (0.4903, 0.6442, 0.7333)  6 Ni 2.38-2.52, 1 Tc 2.49
Ni (0.6181, 0.6822, 0.4359)  6 Ni 2.41-2.56, 3 Tc 2.47-2.67, 2 Rh 2.60
Ni (0.7845, 0.1215, 0.9481)  5 Ni 2.30-2.52, 1 Tc 2.40, 1 Rh 2.48
Ni (0.7845, 0.3364, 0.1630)  5 Ni 2.30-2.52, 1 Tc 2.40, 1 Rh 2.48
Ni (0.9109, 0.1442, 0.6539)  6 Ni 2.38-2.52, 1 Tc 2.49
Ni (0.9109, 0.7570, 0.2667)  6 Ni 2.38-2.52, 1 Tc 2.49
Rh (0.4323, 0.6011, 0.0776)  6 Ni 2.48-2.73, 3 Tc 2.56-2.73, 2 Rh 2.71-2.78
Rh (0.4323, 0.8547, 0.3311)  6 Ni 2.48-2.73, 3 Tc 2.56-2.73, 2 Rh 2.71-2.78
Rh (0.5236, 0.1011, 0.6689)  6 Ni 2.48-2.73, 3 Tc 2.56-2.73, 2 Rh 2.71-2.78
Rh (0.5236, 0.3547, 0.9224)  6 Ni 2.48-2.73, 3 Tc 2.56-2.73, 2 Rh 2.71-2.78